This record from Alexandria describes a relaxed Tb6Co2Au crystal. The functional is PBE-GGA.

Output
Its calculated formation energy is -0.3136 eV/atom. For the total magnetization, the calculation gives 0.00 μB per formula unit.

a b c (Å): 8.296 8.296 8.296
angles (deg): 107.31 109.11 112.02
Atoms (fractional coordinates):
Tb: 0.538 0.718 0.820
Tb: 0.462 0.282 0.180
Tb: 0.102 0.282 0.820
Tb: 0.898 0.718 0.180
Tb: 0.803 0.765 0.568
Tb: 0.197 0.235 0.432
Tb: 0.197 0.765 0.961
Tb: 0.803 0.235 0.039
Tb: 0.689 0.362 0.673
Tb: 0.311 0.638 0.327
Tb: 0.311 0.985 0.673
Tb: 0.689 0.015 0.327
Co: 0.500 0.386 0.886
Co: 0.500 0.614 0.114
Co: 0.656 0.000 0.656
Co: 0.344 0.000 0.344
Au: 0.000 0.500 0.500
Au: 0.000 0.000 0.000